Material: NaH2CO4
Method: DFT, PBE
State: optimized geometry

a = 3.597 Å, b = 4.916 Å, c = 4.916 Å
α = 69.88°, β = 68.54°, γ = 68.54°
Last column: magnetic moment on the atom in μB.
Element x y z (fractional)
1 O 0.155 0.751 0.485  0.22
2 O 0.392 0.249 0.515  0.22
3 H 0.137 0.363 0.363  0.00
4 C 0.500 0.500 0.500  -0.02
5 H 0.863 0.637 0.637  0.00
6 O 0.845 0.515 0.249  0.22
7 Na 0.000 0.000 0.000  0.00
8 O 0.608 0.485 0.751  0.22

- Volume: 9.13 A^3/atom
- VASP energy: -5.6119 eV/atom